# 1
Below is a relaxed CrCdPCl2 crystal, with properties calculated at the PBEsol level.

Energy relative to the elements, uncorrected ... 0.547 eV per atom
Crystal system ... tetragonal

Cell: 4.9976 4.9976 5.0943 Å, 90.00 90.00 90.00°
With the nearest neighbours (Å) after each atom.
Space group P4/mmm (No. 123)
Unique sites:
1 Cr 0.0000 0.0000 0.0000 x1  4 P 3.53, 8 Cl 3.57
2 Cd 0.5000 0.5000 0.5000 x1  4 Cl 2.50, 2 P 2.55
3 P 0.5000 0.5000 0.0000 x1  2 Cd 2.55
4 Cl 0.0000 0.5000 0.5000 x2  2 Cd 2.50

# 2
Below is a relaxed BMoW2Br crystal, with properties calculated at the PBEsol level.

Energy relative to the elements, uncorrected ... 2.542 eV per atom
Crystal system ... tetragonal

Cell: 4.7025 4.7025 3.7009 Å, 90.00 90.00 90.00°
With the nearest neighbours (Å) after each atom.
Space group P4/mmm (No. 123)
Unique sites:
1 B 0.0000 0.0000 0.0000 x1  2 Br 1.85
2 Mo 0.5000 0.5000 0.0000 x1  8 W 2.99, 4 B 3.33
3 W 0.0000 0.5000 0.5000 x2  2 Br 2.35
4 Br 0.0000 0.0000 0.5000 x1  2 B 1.85

| no. | total energy (eV for the cell shown) | spin magnetization (μB/atom) |
| --- | --- | --- |
| 1 | -18.51 | 0.66 |
| 2 | -35.56 | 0.00 |